Material: KTe2Pd4
Method: DFT, GGA-PBE
State: relaxed

Calculated values
DOS at the Fermi energy = 0.788 states/eV per atom
Total energy = -31.04 eV per formula unit

abc: 8.372 8.372 4.206
angles: 90.00 90.00 90.00
Space group P4_2/mnm (No. 136)
Symmetry-distinct sites (fractional):
K  0.000  0.000  0.000 [2 per cell]
Te  0.221  0.221  0.500 [4 per cell]
Pd  0.089  0.648  0.500 [8 per cell]

Material: MgZr2PC
Method: DFT, GGA-PBE
State: relaxed

Calculated values
DOS at the Fermi energy = 0.961 states/eV per atom
Total energy = -34.83 eV per formula unit

abc: 4.554 4.554 4.081
angles: 90.00 90.00 90.00
Space group P4/mmm (No. 123)
Symmetry-distinct sites (fractional):
Mg  0.000  0.000  0.000 [1 per cell]
Zr  0.000  0.500  0.500 [2 per cell]
P  0.500  0.500  0.000 [1 per cell]
C  0.000  0.000  0.500 [1 per cell]

Material: YAsSe2F
Method: DFT, GGA-PBE
State: relaxed

Calculated values
DOS at the Fermi energy = 0.373 states/eV per atom
Energy above the lowest structure with this stoichiometry = 0.0000 eV/atom

abc: 4.927 4.927 4.215
angles: 90.00 90.00 90.00
Space group P4/mmm (No. 123)
Symmetry-distinct sites (fractional):
Y  0.000  0.000  0.000 [1 per cell]
As  0.500  0.500  0.000 [1 per cell]
Se  0.000  0.500  0.500 [2 per cell]
F  0.500  0.500  0.500 [1 per cell]

Material: Li5Tl4Bi
Method: DFT, GGA-PBE
State: relaxed

Calculated values
DOS at the Fermi energy = 0.404 states/eV per atom
Total energy = -25.41 eV per formula unit

abc: 3.414 3.414 18.813
angles: 90.00 90.00 90.00
Space group P4/mmm (No. 123)
Symmetry-distinct sites (fractional):
Li  0.000  0.000  0.000 [1 per cell]
Li  0.000  0.000  0.195 [2 per cell]
Li  0.000  0.000  0.397 [2 per cell]
Tl  0.500  0.500  0.098 [2 per cell]
Tl  0.500  0.500  0.294 [2 per cell]
Bi  0.500  0.500  0.500 [1 per cell]

Material: CsCdSbBr6
Method: DFT, GGA-PBE
State: relaxed

Calculated values
DOS at the Fermi energy = 0.000 states/eV per atom
Total energy = -24.71 eV per formula unit

abc: 7.3655 7.3655 8.1238
angles: 90.00 90.00 120.00
Space group P312 (No. 149)
Symmetry-distinct sites (fractional):
Cs  0.0000  0.0000  0.0000 [1 per cell]
Cd  0.6667  0.3333  0.5000 [1 per cell]
Sb  0.3333  0.6667  0.5000 [1 per cell]
Br  0.3778  0.0023  0.7017 [6 per cell]

Material: Mn4ZnRh5
Method: DFT, GGA-PBE
State: relaxed

Calculated values
DOS at the Fermi energy = 0.985 states/eV per atom
Total energy = -77.00 eV per formula unit

abc: 3.034 3.034 15.111
angles: 90.00 90.00 90.00
Space group P4/mmm (No. 123)
Symmetry-distinct sites (fractional):
Mn  0.000  0.000  0.101 [2 per cell]
Mn  0.000  0.000  0.302 [2 per cell]
Zn  0.000  0.000  0.500 [1 per cell]
Rh  0.500  0.500  0.000 [1 per cell]
Rh  0.500  0.500  0.201 [2 per cell]
Rh  0.500  0.500  0.399 [2 per cell]

Question: Which of these has the lowest DOS at the Fermi energy?
Answer: CsCdSbBr6

Question: What is the formula in the second record?
Answer: MgZr2PC

Question: Number 1 is which compound?
Answer: KTe2Pd4